The following is a DFT calculation (PBE) of crystalline LaSm3Pb at its relaxed geometry.

Unit cell a=3.6477 b=6.7309 c=13.8061 alpha=90.00 beta=90.00 gamma=90.00
Atoms (fractional coordinates):
La 0.2500 0.2500 0.0120
La 0.7500 0.7500 0.9880
Sm 0.2500 0.2500 0.4204
Sm 0.2500 0.5055 0.7803
Sm 0.2500 0.9945 0.7803
Sm 0.7500 0.0055 0.2197
Sm 0.7500 0.4945 0.2197
Sm 0.7500 0.7500 0.5796
Pb 0.2500 0.7500 0.3818
Pb 0.7500 0.2500 0.6182

Output
Its energy of formation from the pure elements is -3.22 kcal/mol of atoms.

The following is a DFT calculation (PBE) of crystalline MnRe at its relaxed geometry.

Unit cell a=7.4309 b=7.4309 c=7.4309 alpha=90.00 beta=90.00 gamma=90.00
Atoms (fractional coordinates):
Mn 0.1920 0.1920 0.1920
Mn 0.1920 0.8080 0.8080
Mn 0.3080 0.3080 0.6920
Mn 0.3080 0.6920 0.3080
Mn 0.6920 0.3080 0.3080
Mn 0.6920 0.6920 0.6920
Mn 0.8080 0.1920 0.8080
Mn 0.8080 0.8080 0.1920
Re 0.1294 0.1294 0.8706
Re 0.1294 0.8706 0.1294
Re 0.3706 0.3706 0.3706
Re 0.3706 0.6294 0.6294
Re 0.6294 0.3706 0.6294
Re 0.6294 0.6294 0.3706
Re 0.8706 0.1294 0.1294
Re 0.8706 0.8706 0.8706

Output
Its energy of formation from the pure elements is 43.01 kcal/mol of atoms.

The following is a DFT calculation (PBE) of crystalline Pm6Si2Sn3 at its relaxed geometry.

Unit cell a=12.8949 b=12.8949 c=12.8949 alpha=155.59 beta=155.59 gamma=34.79
Atoms (fractional coordinates):
Pm 0.0804 0.5804 0.5000
Pm 0.2071 0.2071 0.0000
Pm 0.4196 0.9196 0.5000
Pm 0.5804 0.0804 0.5000
Pm 0.7929 0.7929 0.0000
Pm 0.9196 0.4196 0.5000
Si 0.0953 0.0953 0.0000
Si 0.9047 0.9047 0.0000
Sn 0.3347 0.3347 0.0000
Sn 0.5000 0.5000 0.0000
Sn 0.6653 0.6653 0.0000

Output
The calculation puts the uncorrected formation energy at -0.341 eV/atom.